Record 1
{
  "formula": "InSn3Br",
  "functional": "PBE-GGA",
  "state": "optimized geometry",
  "lattice": [[5.752, 0.000, 0.000], [0.000, 5.752, 0.000], [0.000, 0.000, 5.752]],
  "species": ["Br", "Sn", "Sn", "Sn", "In"],
  "fractional_positions": [[0.500, 0.500, 0.500], [0.500, 0.000, 0.000], [0.000, 0.000, 0.500], [0.000, 0.500, 0.000], [0.000, 0.000, 0.000]],
  "energy_ev_per_atom": -2.830,
  "total_magnetization_mub_per_cell": 0.0,
  "e_form_raw_kj_per_mol_atoms": 43.8,
  "de_polymorph_ev_per_fu": 0.00
}

***

Record 2
{
  "formula": "CsCaMg6",
  "functional": "PBE-GGA",
  "state": "optimized geometry",
  "lattice": [[3.715, -5.998, 0.000], [3.715, 5.998, 0.000], [0.000, 0.000, 5.523]],
  "species": ["Mg", "Cs", "Mg", "Mg", "Mg", "Mg", "Ca", "Mg"],
  "fractional_positions": [[0.114, 0.288, 0.000], [0.368, 0.632, 0.500], [0.871, 0.692, 0.500], [0.308, 0.129, 0.500], [0.650, 0.350, 0.000], [0.712, 0.886, 0.000], [0.165, 0.835, 0.000], [0.813, 0.187, 0.500]],
  "energy_ev_per_atom": -1.316,
  "total_magnetization_mub_per_cell": 0.0,
  "ef_ev_per_atom": 0.2368,
  "de_polymorph_ev_per_fu": 0.31
}